1.
14
Lattice="-3.091 3.162 4.491 3.091 -3.162 4.491 3.091 3.162 -4.491" Properties=species:S:1:pos:R:3 comment="CaNiRhO4 | Alexandria via LeMat-Bulk | GGA+U | optimized geometry" n_ef_per_ev_fu=3.61 final_energy_ev_per_atom=-5.989 space_group="Imma (74)" pbc="T T T"
Ca 0.000 1.581 1.221
Ca 3.091 1.581 3.271
Ni 1.545 1.581 -2.246
Ni 1.545 -1.581 2.246
Rh 3.091 0.000 0.000
Rh 0.000 0.000 4.491
O 3.091 -0.223 2.006
O 1.780 1.581 -0.097
O 4.401 1.581 -0.097
O 3.091 2.939 -2.006
O 0.000 0.223 6.497
O -1.311 1.581 4.589
O 1.311 1.581 4.589
O 0.000 3.385 2.485

***

2.
18
Lattice="-3.422 4.027 5.803 3.422 -4.027 5.803 3.422 4.027 -5.803" Properties=species:S:1:pos:R:3 comment="KCuWF6 | Alexandria via LeMat-Bulk | GGA+U | optimized geometry" final_energy_ev_per_atom=-5.002 space_group="Imma (74)" pbc="T T T"
K 0.000 2.013 2.129
K 3.422 2.013 3.674
Cu 1.711 2.013 -2.902
Cu 1.711 -2.013 2.902
W 3.422 0.000 0.000
W 0.000 0.000 5.803
F 3.422 -2.013 3.661
F 2.045 0.505 1.336
F 4.799 0.505 1.336
F 3.422 2.013 -0.635
F 2.045 4.532 -1.336
F 1.377 0.505 4.467
F 2.045 3.521 1.336
F 1.377 -0.505 7.140
F 0.000 2.013 6.438
F -1.377 3.521 4.467
F 1.377 3.521 4.467
F 0.000 6.040 2.142